AgTe4Au: optimized geometry, PBE.

Structure (POSCAR):
```
AgTe4Au
1.0
0.0000 4.4545 4.4545
4.4545 0.0000 4.4545
4.4545 4.4545 0.0000
Te Au Ag
4 1 1
Cartesian
5.5730 3.3359 5.5730
3.3359 3.3359 3.3359
5.5730 5.5730 3.3359
3.3359 5.5730 5.5730
0.0000 0.0000 0.0000
6.6817 6.6817 6.6817
```

Uncorrected formation energy, eV per atom: 0.6205
Excess energy over the best structure of this formula in the dataset, meV per atom: 690
M_tot, μB per formula unit: 0.000
Symmetry: F-43m